# 1
Material: Pm2Tm6Sc3
Method: DFT, PBE-GGA
State: relaxed

Output
- Space-group type: C2/m
- E_tot: -4.828 eV per atom

Unit cell a=5.9447 b=5.9447 c=11.3374 alpha=95.06 beta=95.06 gamma=120.08
Atoms (fractional coordinates):
Pm 0.1665 0.8335 0.0000
Pm 0.8335 0.1665 0.0000
Tm 0.0796 0.4135 0.7388
Tm 0.2527 0.2527 0.2606
Tm 0.4135 0.0796 0.7388
Tm 0.5865 0.9204 0.2612
Tm 0.7473 0.7473 0.7394
Tm 0.9204 0.5865 0.2612
Sc 0.0000 0.0000 0.5000
Sc 0.3346 0.6654 0.5000
Sc 0.6654 0.3346 0.5000

***

# 2
Material: PmTm4Sc15
Method: DFT, PBE-GGA
State: relaxed

Output
- Space-group type: P4/mmm
- E_tot: -5.823 eV per atom

Unit cell a=4.7000 b=4.7000 c=23.5213 alpha=90.00 beta=90.00 gamma=90.00
Atoms (fractional coordinates):
Pm 0.0000 0.0000 0.0000
Tm 0.0000 0.0000 0.2011
Tm 0.0000 0.0000 0.4005
Tm 0.0000 0.0000 0.5995
Tm 0.0000 0.0000 0.7989
Sc 0.0000 0.5000 0.1017
Sc 0.0000 0.5000 0.3008
Sc 0.0000 0.5000 0.5000
Sc 0.0000 0.5000 0.6992
Sc 0.0000 0.5000 0.8983
Sc 0.5000 0.0000 0.1017
Sc 0.5000 0.0000 0.3008
Sc 0.5000 0.0000 0.5000
Sc 0.5000 0.0000 0.6992
Sc 0.5000 0.0000 0.8983
Sc 0.5000 0.5000 0.0000
Sc 0.5000 0.5000 0.2018
Sc 0.5000 0.5000 0.4004
Sc 0.5000 0.5000 0.5996
Sc 0.5000 0.5000 0.7982

***

# 3
Material: PmTmSc2
Method: DFT, PBE-GGA
State: relaxed

Output
- Space-group type: P4/mmm
- Distance to the lowest polymorph of the same formula: 0.006 eV/atom

Unit cell a=4.9093 b=4.9093 c=4.6721 alpha=90.00 beta=90.00 gamma=90.00
Atoms (fractional coordinates):
Pm 0.0000 0.0000 0.0000
Tm 0.5000 0.5000 0.0000
Sc 0.0000 0.5000 0.5000
Sc 0.5000 0.0000 0.5000

***

# 4
Material: Pm2Tm3Sc4
Method: DFT, PBE-GGA
State: relaxed

Output
- Space-group type: C2/c
- Distance to the lowest polymorph of the same formula: 0.000 eV/atom

Unit cell a=9.6786 b=9.6786 c=5.8388 alpha=95.36 beta=95.36 gamma=70.08
Atoms (fractional coordinates):
Pm 0.0172 0.7283 0.6846
Pm 0.2717 0.9828 0.8154
Pm 0.7283 0.0172 0.1846
Pm 0.9828 0.2717 0.3154
Tm 0.1054 0.8946 0.2500
Tm 0.2407 0.4350 0.3846
Tm 0.4350 0.2407 0.8846
Tm 0.5650 0.7593 0.1154
Tm 0.7593 0.5650 0.6154
Tm 0.8946 0.1054 0.7500
Sc 0.0820 0.3629 0.8460
Sc 0.3217 0.5912 0.9788
Sc 0.3629 0.0820 0.3460
Sc 0.4088 0.6783 0.5212
Sc 0.5912 0.3217 0.4788
Sc 0.6371 0.9180 0.6540
Sc 0.6783 0.4088 0.0212
Sc 0.9180 0.6371 0.1540

***

# 5
Material: Pm3TmSc3
Method: DFT, PBE-GGA
State: relaxed

Output
- Space-group type: P6_3/m
- Distance to the lowest polymorph of the same formula: 0.000 eV/atom

Unit cell a=9.2888 b=9.2888 c=5.5366 alpha=90.00 beta=90.00 gamma=120.00
Atoms (fractional coordinates):
Pm 0.0490 0.2493 0.2500
Pm 0.2003 0.9510 0.2500
Pm 0.2493 0.2003 0.7500
Pm 0.7507 0.7997 0.2500
Pm 0.7997 0.0490 0.7500
Pm 0.9510 0.7507 0.7500
Tm 0.3333 0.6667 0.2500
Tm 0.6667 0.3333 0.7500
Sc 0.0968 0.4846 0.7500
Sc 0.3878 0.9032 0.7500
Sc 0.4846 0.3878 0.2500
Sc 0.5154 0.6122 0.7500
Sc 0.6122 0.0968 0.2500
Sc 0.9032 0.5154 0.2500

***

# 6
Material: Pm6TmSc3
Method: DFT, PBE-GGA
State: relaxed

Output
- Space-group type: R3
- E_tot: -5.016 eV per atom

Unit cell a=6.8119 b=6.8119 c=6.8119 alpha=90.95 beta=90.95 gamma=90.95
Atoms (fractional coordinates):
Pm 0.9997 0.3381 0.6622
Pm 0.1651 0.8352 0.5000
Pm 0.3381 0.6622 0.9997
Pm 0.5000 0.1651 0.8352
Pm 0.6622 0.9997 0.3381
Pm 0.8352 0.5000 0.1651
Tm 0.0011 0.0011 0.0011
Sc 0.2584 0.2584 0.2584
Sc 0.5012 0.5012 0.5012
Sc 0.7442 0.7442 0.7442

***

# 7
Material: PmTm5Sc2
Method: DFT, PBE-GGA
State: relaxed

Output
- Space-group type: Fmm2
- Distance to the lowest polymorph of the same formula: 0.000 eV/atom

Unit cell a=8.1881 b=7.0367 c=6.5116 alpha=74.25 beta=55.80 gamma=49.94
Atoms (fractional coordinates):
Pm 0.0000 0.0000 0.0000
Tm 0.4142 0.4142 0.0858
Tm 0.4961 0.9961 0.5039
Tm 0.4983 0.4983 0.5017
Tm 0.9142 0.9142 0.5858
Tm 0.9961 0.4961 0.0039
Sc 0.4145 0.9122 0.0878
Sc 0.9122 0.4145 0.5855

***

# 8
Material: Pm4TmSc4
Method: DFT, PBE-GGA
State: relaxed

Output
- Space-group type: I4/mmm
- E_tot: -5.362 eV per atom

Unit cell a=7.7365 b=7.7365 c=7.7365 alpha=95.73 beta=95.73 gamma=143.18
Atoms (fractional coordinates):
Pm 0.0000 0.3266 0.3266
Pm 0.0000 0.6734 0.6734
Pm 0.3266 0.0000 0.3266
Pm 0.6734 0.0000 0.6734
Tm 0.0000 0.0000 0.0000
Sc 0.3349 0.3349 0.6698
Sc 0.3349 0.6651 0.0000
Sc 0.6651 0.3349 0.0000
Sc 0.6651 0.6651 0.3302

***

It is found that the theoretical density values, taken in the order of the records, are 7.00, 4.78, 5.96, 6.35, 5.93, 6.17, 7.63, 5.86 g/cm3.